[1]
SrHgBiS2: optimized geometry, PBEsol.

Cell lengths 5.3963, 5.3963, 5.4090 Å; angles 90.00, 90.00, 90.00 degrees
Fractional coordinates of all 5 atoms:
Sr 0.0000 0.0000 0.0000
Hg 0.5000 0.5000 0.0000
Bi 0.5000 0.5000 0.5000
S 0.0000 0.5000 0.5000
S 0.5000 0.0000 0.5000

DOS(E_F): 1.1 states/eV/f.u.
ΔE_f (raw): -0.374 eV/atom
Total energy: -3.466 eV/atom

---

[2]
BaZr2Se: optimized geometry, PBEsol.

Cell lengths 3.8394, 5.1527, 5.3215 Å; angles 90.00, 95.27, 90.00 degrees
Fractional coordinates of all 4 atoms:
Ba 0.0000 0.0000 0.0000
Zr 0.3912 0.5000 0.7186
Zr 0.6088 0.5000 0.2814
Se 0.5000 0.0000 0.5000

DOS(E_F): 3.4 states/eV/f.u.
ΔE_f (raw): -0.145 eV/atom
Total energy: -6.190 eV/atom

---

[3]
K2PdC4N4: optimized geometry, PBEsol.

Cell lengths 4.2938, 7.7634, 13.3865 Å; angles 90.00, 92.44, 90.00 degrees
Fractional coordinates of all 22 atoms:
K 0.2177 0.0462 0.3445
K 0.2177 0.4538 0.8445
K 0.7823 0.5462 0.1555
K 0.7823 0.9538 0.6555
Pd 0.5000 0.0000 0.0000
Pd 0.5000 0.5000 0.5000
C 0.3409 0.6216 0.6158
C 0.3409 0.8784 0.1158
C 0.3475 0.2213 0.0496
C 0.3475 0.2787 0.5496
C 0.6525 0.7213 0.4504
C 0.6525 0.7787 0.9504
C 0.6591 0.1216 0.8842
C 0.6591 0.3784 0.3842
N 0.2520 0.6991 0.6844
N 0.2520 0.8009 0.1844
N 0.2606 0.1437 0.5765
N 0.2606 0.3563 0.0765
N 0.7394 0.6437 0.9235
N 0.7394 0.8563 0.4235
N 0.7480 0.1991 0.8156
N 0.7480 0.3009 0.3156

DOS(E_F): 0.0 states/eV/f.u.
ΔE_f (raw): -0.094 eV/atom
Total energy: -7.449 eV/atom

---

[4]
ReSiSb2: optimized geometry, PBEsol.

Cell lengths 4.0374, 6.5996, 6.5996 Å; angles 28.88, 90.00, 90.00 degrees
Fractional coordinates of all 4 atoms:
Re 0.0000 0.0000 0.0000
Si 0.5000 0.9026 0.9026
Sb 0.0000 0.3220 0.3220
Sb 0.5000 0.6032 0.6032

DOS(E_F): 1.9 states/eV/f.u.
ΔE_f (raw): 0.388 eV/atom
Total energy: -6.660 eV/atom